# CaPIO2

A PBEsol-optimized structure of CaPIO2 (meta-GGA SCAN, Alexandria).

Lattice parameters (Å, degrees): 4.223 4.223 6.477 90.00 90.00 90.00
Element x y z (fractional)
Ca (0.000, 0.000, 0.000)
P (0.500, 0.500, 0.500)
I (0.000, 0.000, 0.500)
O (0.000, 0.500, 0.000)
O (0.500, 0.000, 0.000)


# CaRuIO2

A PBEsol-optimized structure of CaRuIO2 (meta-GGA SCAN, Alexandria).

Lattice parameters (Å, degrees): 4.026 4.026 5.354 90.00 90.00 90.00
Element x y z (fractional)
Ca (0.000, 0.000, 0.000)
Ru (0.500, 0.500, 0.500)
I (0.500, 0.500, 0.000)
O (0.000, 0.500, 0.500)
O (0.500, 0.000, 0.500)


# CaSb2IO

A PBEsol-optimized structure of CaSb2IO (meta-GGA SCAN, Alexandria).

Lattice parameters (Å, degrees): 5.788 5.788 5.694 90.00 90.00 90.00
Element x y z (fractional)
Ca (0.000, 0.000, 0.000)
Sb (0.000, 0.500, 0.000)
Sb (0.500, 0.000, 0.000)
I (0.000, 0.000, 0.500)
O (0.500, 0.500, 0.500)


# CaTcI2O

A PBEsol-optimized structure of CaTcI2O (meta-GGA SCAN, Alexandria).

Lattice parameters (Å, degrees): 5.572 5.572 3.766 90.00 90.00 90.00
Element x y z (fractional)
Ca (0.000, 0.000, 0.000)
Tc (0.500, 0.500, 0.500)
I (0.000, 0.500, 0.500)
I (0.500, 0.000, 0.500)
O (0.500, 0.500, 0.000)


# CaTlI2O

A PBEsol-optimized structure of CaTlI2O (meta-GGA SCAN, Alexandria).

Lattice parameters (Å, degrees): 6.149 6.149 4.286 90.00 90.00 90.00
Element x y z (fractional)
Ca (0.000, 0.000, 0.000)
Tl (0.500, 0.500, 0.500)
I (0.000, 0.500, 0.000)
I (0.500, 0.000, 0.000)
O (0.000, 0.000, 0.500)


# CaZrI2O

A PBEsol-optimized structure of CaZrI2O (meta-GGA SCAN, Alexandria).

Lattice parameters (Å, degrees): 5.871 5.871 3.992 90.00 90.00 90.00
Element x y z (fractional)
Ca (0.000, 0.000, 0.000)
Zr (0.500, 0.500, 0.500)
I (0.000, 0.500, 0.000)
I (0.500, 0.000, 0.000)
O (0.000, 0.000, 0.500)


# CaScOsI2

A PBEsol-optimized structure of CaScOsI2 (meta-GGA SCAN, Alexandria).

Lattice parameters (Å, degrees): 5.524 5.524 4.774 90.00 90.00 90.00
Element x y z (fractional)
Ca (0.000, 0.000, 0.000)
Sc (0.500, 0.500, 0.000)
Os (0.500, 0.500, 0.500)
I (0.000, 0.500, 0.500)
I (0.500, 0.000, 0.500)


# Ca2PI

A PBEsol-optimized structure of Ca2PI (meta-GGA SCAN, Alexandria).

Lattice parameters (Å, degrees): 4.245 4.245 21.982 90.00 90.00 120.00
Element x y z (fractional)
Ca (0.000, 0.000, 0.230)
Ca (0.000, 0.000, 0.770)
Ca (0.333, 0.667, 0.436)
Ca (0.333, 0.667, 0.897)
Ca (0.667, 0.333, 0.103)
Ca (0.667, 0.333, 0.564)
P (0.000, 0.000, 0.500)
P (0.333, 0.667, 0.167)
P (0.667, 0.333, 0.833)
I (0.000, 0.000, 0.000)
I (0.333, 0.667, 0.667)
I (0.667, 0.333, 0.333)


# Ca2PI

A PBEsol-optimized structure of Ca2PI (meta-GGA SCAN, Alexandria).

Lattice parameters (Å, degrees): 7.416 7.416 7.416 90.00 90.00 90.00
Element x y z (fractional)
Ca (0.250, 0.250, 0.250)
Ca (0.250, 0.250, 0.750)
Ca (0.250, 0.750, 0.250)
Ca (0.250, 0.750, 0.750)
Ca (0.750, 0.250, 0.250)
Ca (0.750, 0.250, 0.750)
Ca (0.750, 0.750, 0.250)
Ca (0.750, 0.750, 0.750)
P (0.000, 0.000, 0.000)
P (0.000, 0.500, 0.500)
P (0.500, 0.000, 0.500)
P (0.500, 0.500, 0.000)
I (0.000, 0.000, 0.500)
I (0.000, 0.500, 0.000)
I (0.500, 0.000, 0.000)
I (0.500, 0.500, 0.500)


# Ca3PI

A PBEsol-optimized structure of Ca3PI (meta-GGA SCAN, Alexandria).

Lattice parameters (Å, degrees): 5.598 5.598 5.598 90.00 90.00 90.00
Element x y z (fractional)
Ca (0.000, 0.000, 0.500)
Ca (0.000, 0.500, 0.000)
Ca (0.500, 0.000, 0.000)
P (0.500, 0.500, 0.500)
I (0.000, 0.000, 0.000)


# CaPbI4

A PBEsol-optimized structure of CaPbI4 (meta-GGA SCAN, Alexandria).

Lattice parameters (Å, degrees): 9.610 7.805 14.349 90.00 97.40 90.00
Element x y z (fractional)
Ca (0.120, 0.046, 0.380)
Ca (0.120, 0.454, 0.880)
Ca (0.880, 0.546, 0.120)
Ca (0.880, 0.954, 0.620)
Pb (0.313, 0.212, 0.657)
Pb (0.313, 0.288, 0.157)
Pb (0.687, 0.712, 0.843)
Pb (0.687, 0.788, 0.343)
I (0.005, 0.186, 0.183)
I (0.005, 0.314, 0.683)
I (0.180, 0.638, 0.071)
I (0.180, 0.862, 0.571)
I (0.293, 0.144, 0.962)
I (0.293, 0.356, 0.462)
I (0.375, 0.559, 0.779)
I (0.375, 0.941, 0.279)
I (0.625, 0.059, 0.721)
I (0.625, 0.441, 0.221)
I (0.707, 0.644, 0.538)
I (0.707, 0.856, 0.038)
I (0.820, 0.138, 0.429)
I (0.820, 0.362, 0.929)
I (0.995, 0.686, 0.317)
I (0.995, 0.814, 0.817)


# CaPbI4

A PBEsol-optimized structure of CaPbI4 (meta-GGA SCAN, Alexandria).

Lattice parameters (Å, degrees): 4.470 15.586 14.082 90.00 90.00 90.00
Element x y z (fractional)
Ca (0.000, 0.042, 0.000)
Ca (0.000, 0.205, 0.500)
Ca (0.500, 0.795, 0.000)
Ca (0.500, 0.958, 0.500)
Pb (0.000, 0.544, 0.001)
Pb (0.000, 0.708, 0.500)
Pb (0.500, 0.292, 0.000)
Pb (0.500, 0.456, 0.501)
I (0.000, 0.040, 0.624)
I (0.000, 0.203, 0.130)
I (0.000, 0.367, 0.371)
I (0.000, 0.377, 0.867)
I (0.000, 0.541, 0.634)
I (0.000, 0.715, 0.126)
I (0.000, 0.877, 0.875)
I (0.000, 0.878, 0.374)
I (0.500, 0.122, 0.874)
I (0.500, 0.123, 0.375)
I (0.500, 0.285, 0.626)
I (0.500, 0.459, 0.134)
I (0.500, 0.623, 0.367)
I (0.500, 0.633, 0.871)
I (0.500, 0.797, 0.630)
I (0.500, 0.960, 0.124)


Quick rundown of total energy, same order as above: -70.2; -97.9; -123.1; -128.3; -167.2; -123.4; -168.1; -218.5; -283.6; -75.6; -956.9; -958.6 eV per cell
Quick rundown of ΔE_f (raw), same order as above: -0.195; -0.847; 0.804; -0.773; -1.095; -0.669; 0.235; -1.590; -1.111; 0.099; -1.137; -1.205 eV/atom